# 1
A plane-wave DFT calculation with PBEsol was carried out for a relaxed structure of Fe2SiTe.

a = 3.1533 Å, b = 3.4098 Å, c = 5.1127 Å
α = 90.00°, β = 90.00°, γ = 90.00°
Last column: nearest neighbours and their distance in Å.
Space group Pmm2 (No. 25)
Symmetry-distinct sites (fractional):
Fe: 0.0000 0.0000 0.0000 [1 per cell]  1 Si 2.31, 4 Te 2.50
Fe: 0.5000 0.5000 0.3292 [1 per cell]  4 Si 2.40, 2 Te 2.51-2.60
Si: 0.0000 0.0000 0.4516 [1 per cell]  5 Fe 2.31-2.40
Te: 0.5000 0.5000 0.8204 [1 per cell]  6 Fe 2.50-2.60

Volume   55.0 Å³/cell
E_form (uncorrected)   0.093 eV/atom

---

# 2
A plane-wave DFT calculation with PBEsol was carried out for a relaxed structure of FeSi2Te.

a = 3.7558 Å, b = 4.1463 Å, c = 9.5766 Å
α = 90.00°, β = 90.00°, γ = 90.00°
Last column: nearest neighbours and their distance in Å.
Space group Amm2 (No. 38)
Symmetry-distinct sites (fractional):
Fe: 0.0000 0.0000 0.0000 [2 per cell]  4 Si 2.11-2.28
Si: 0.0000 0.0000 0.4605 [2 per cell]  2 Fe 2.11
Si: 0.5000 0.0000 0.8655 [2 per cell]  2 Fe 2.28
Te: 0.5000 0.0000 0.1751 [2 per cell]  2 Fe 2.52, 2 Si 2.76

Volume   149.1 Å³/cell
E_form (uncorrected)   0.015 eV/atom

---

# 3
A plane-wave DFT calculation with PBEsol was carried out for a relaxed structure of FeSiTe3.

a = 4.9559 Å, b = 4.9559 Å, c = 4.9559 Å
α = 90.00°, β = 90.00°, γ = 90.00°
Last column: nearest neighbours and their distance in Å.
Space group Pm-3m (No. 221)
Symmetry-distinct sites (fractional):
Fe: 0.0000 0.0000 0.0000 [1 per cell]  6 Te 2.48
Si: 0.5000 0.5000 0.5000 [1 per cell]  12 Te 3.50
Te: 0.0000 0.0000 0.5000 [3 per cell]  2 Fe 2.48

Volume   121.7 Å³/cell
E_form (uncorrected)   0.621 eV/atom